a) This record from Alexandria describes an optimized crystal structure of Pd3PbCl. The functional is PBE-GGA.

a = 4.694 Å, b = 4.694 Å, c = 4.694 Å
α = 90.00°, β = 90.00°, γ = 90.00°
Positions (direct):
1 Pd 0.000 0.000 0.500
2 Pd 0.000 0.500 0.000
3 Pd 0.500 0.000 0.000
4 Pb 0.500 0.500 0.500
5 Cl 0.000 0.000 0.000

Calculated values
M_tot	0.00	μB/f.u.
density of states at the Fermi level	0.518	states/eV/atom
symmetry	Pm-3m

---

b) This record from Alexandria describes an optimized crystal structure of Pd3PbCl. The functional is PBE-GGA.

a = 5.131 Å, b = 5.131 Å, c = 5.131 Å
α = 90.00°, β = 90.00°, γ = 90.00°
Positions (direct):
1 Pd 0.000 0.000 0.500
2 Pd 0.000 0.500 0.000
3 Pd 0.500 0.000 0.000
4 Pb 0.000 0.000 0.000
5 Cl 0.500 0.500 0.500

Calculated values
M_tot	0.00	μB/f.u.
density of states at the Fermi level	0.266	states/eV/atom
symmetry	Pm-3m

---

Quick ranking, most stable first: a), b).

---

a) This record from Alexandria describes an optimized crystal structure of PdPb2Cl. The functional is PBE-GGA.

a = 3.841 Å, b = 3.841 Å, c = 24.801 Å
α = 90.00°, β = 90.00°, γ = 120.00°
Positions (direct):
1 Pd 0.000 0.000 0.000
2 Pd 0.333 0.667 0.667
3 Pd 0.667 0.333 0.333
4 Pb 0.000 0.000 0.406
5 Pb 0.000 0.000 0.593
6 Pb 0.333 0.667 0.073
7 Pb 0.333 0.667 0.260
8 Pb 0.667 0.333 0.740
9 Pb 0.667 0.333 0.927
10 Cl 0.000 0.000 0.171
11 Cl 0.333 0.667 0.838
12 Cl 0.667 0.333 0.504

Calculated values
M_tot	0.00	μB/f.u.
density of states at the Fermi level	0.270	states/eV/atom
symmetry	R3m

---

b) This record from Alexandria describes an optimized crystal structure of PdPb2Cl. The functional is PBE-GGA.

a = 7.241 Å, b = 7.241 Å, c = 7.241 Å
α = 90.00°, β = 90.00°, γ = 90.00°
Positions (direct):
1 Pd 0.000 0.000 0.000
2 Pd 0.000 0.500 0.500
3 Pd 0.500 0.000 0.500
4 Pd 0.500 0.500 0.000
5 Pb 0.250 0.250 0.250
6 Pb 0.250 0.250 0.750
7 Pb 0.250 0.750 0.250
8 Pb 0.250 0.750 0.750
9 Pb 0.750 0.250 0.250
10 Pb 0.750 0.250 0.750
11 Pb 0.750 0.750 0.250
12 Pb 0.750 0.750 0.750
13 Cl 0.000 0.000 0.500
14 Cl 0.000 0.500 0.000
15 Cl 0.500 0.000 0.000
16 Cl 0.500 0.500 0.500

Calculated values
M_tot	0.00	μB/f.u.
density of states at the Fermi level	0.815	states/eV/atom
symmetry	Fm-3m

---

c) This record from Alexandria describes an optimized crystal structure of PdPb2Cl. The functional is PBE-GGA.

a = 3.469 Å, b = 3.469 Å, c = 8.040 Å
α = 90.00°, β = 90.00°, γ = 90.00°
Positions (direct):
1 Pd 0.000 0.000 0.000
2 Pb 0.500 0.500 0.222
3 Pb 0.500 0.500 0.778
4 Cl 0.000 0.000 0.500

Calculated values
M_tot	0.00	μB/f.u.
density of states at the Fermi level	0.278	states/eV/atom
symmetry	P4/mmm

---

Quick ranking, most stable first: c), a), b).

---

a) This record from Alexandria describes an optimized crystal structure of PdPbCl4. The functional is PBE-GGA.

a = 6.926 Å, b = 6.926 Å, c = 8.396 Å
α = 98.77°, β = 98.77°, γ = 61.09°
Positions (direct):
1 Pd 0.192 0.808 0.750
2 Pd 0.808 0.192 0.250
3 Pb 0.000 0.500 0.000
4 Pb 0.500 0.000 0.500
5 Cl 0.051 0.345 0.316
6 Cl 0.233 0.752 0.024
7 Cl 0.248 0.767 0.476
8 Cl 0.345 0.051 0.816
9 Cl 0.655 0.949 0.184
10 Cl 0.752 0.233 0.524
11 Cl 0.767 0.248 0.976
12 Cl 0.949 0.655 0.684

Calculated values
M_tot	0.00	μB/f.u.
symmetry	C2/c

---

b) This record from Alexandria describes an optimized crystal structure of PdPbCl4. The functional is PBE-GGA.

a = 6.923 Å, b = 6.923 Å, c = 7.318 Å
α = 90.00°, β = 90.00°, γ = 90.00°
Positions (direct):
1 Pd 0.000 0.000 0.000
2 Pd 0.500 0.500 0.500
3 Pb 0.000 0.500 0.250
4 Pb 0.500 0.000 0.750
5 Cl 0.235 0.238 0.999
6 Cl 0.238 0.765 0.001
7 Cl 0.262 0.735 0.501
8 Cl 0.265 0.262 0.499
9 Cl 0.735 0.738 0.499
10 Cl 0.738 0.265 0.501
11 Cl 0.762 0.235 0.001
12 Cl 0.765 0.762 0.999

Calculated values
M_tot	0.00	μB/f.u.
symmetry	I-4

---

Quick ranking, most stable first: b), a).

---

a) This record from Alexandria describes an optimized crystal structure of Pd2PbCl. The functional is PBE-GGA.

a = 6.747 Å, b = 6.747 Å, c = 6.747 Å
α = 90.00°, β = 90.00°, γ = 90.00°
Positions (direct):
1 Pd 0.250 0.250 0.250
2 Pd 0.250 0.250 0.750
3 Pd 0.250 0.750 0.250
4 Pd 0.250 0.750 0.750
5 Pd 0.750 0.250 0.250
6 Pd 0.750 0.250 0.750
7 Pd 0.750 0.750 0.250
8 Pd 0.750 0.750 0.750
9 Pb 0.000 0.000 0.000
10 Pb 0.000 0.500 0.500
11 Pb 0.500 0.000 0.500
12 Pb 0.500 0.500 0.000
13 Cl 0.000 0.000 0.500
14 Cl 0.000 0.500 0.000
15 Cl 0.500 0.000 0.000
16 Cl 0.500 0.500 0.500

Calculated values
M_tot	0.00	μB/f.u.
density of states at the Fermi level	0.302	states/eV/atom
symmetry	Fm-3m

---

b) This record from Alexandria describes an optimized crystal structure of Pd2PbCl. The functional is PBE-GGA.

a = 7.398 Å, b = 7.398 Å, c = 5.973 Å
α = 90.00°, β = 90.00°, γ = 90.00°
Positions (direct):
1 Pd 0.238 0.750 0.125
2 Pd 0.250 0.238 0.875
3 Pd 0.250 0.262 0.375
4 Pd 0.262 0.750 0.625
5 Pd 0.738 0.250 0.625
6 Pd 0.750 0.738 0.375
7 Pd 0.750 0.762 0.875
8 Pd 0.762 0.250 0.125
9 Pb 0.000 0.000 0.500
10 Pb 0.000 0.500 0.750
11 Pb 0.500 0.000 0.250
12 Pb 0.500 0.500 0.000
13 Cl 0.000 0.000 0.000
14 Cl 0.000 0.500 0.250
15 Cl 0.500 0.000 0.750
16 Cl 0.500 0.500 0.500

Calculated values
M_tot	0.00	μB/f.u.
density of states at the Fermi level	0.791	states/eV/atom
symmetry	I-42d

---

Quick ranking, most stable first: a), b).

---

a) This record from Alexandria describes an optimized crystal structure of PdPb3Cl. The functional is PBE-GGA.

a = 5.446 Å, b = 5.446 Å, c = 5.446 Å
α = 90.00°, β = 90.00°, γ = 90.00°
Positions (direct):
1 Pd 0.000 0.000 0.000
2 Pb 0.000 0.500 0.500
3 Pb 0.500 0.000 0.500
4 Pb 0.500 0.500 0.000
5 Cl 0.500 0.500 0.500

Calculated values
M_tot	0.00	μB/f.u.
density of states at the Fermi level	1.333	states/eV/atom
symmetry	Pm-3m

---

b) This record from Alexandria describes an optimized crystal structure of PdPb3Cl. The functional is PBE-GGA.

a = 5.426 Å, b = 5.426 Å, c = 5.426 Å
α = 90.00°, β = 90.00°, γ = 90.00°
Positions (direct):
1 Pd 0.000 0.000 0.000
2 Pb 0.000 0.000 0.500
3 Pb 0.000 0.500 0.000
4 Pb 0.500 0.000 0.000
5 Cl 0.500 0.500 0.500

Calculated values
M_tot	0.00	μB/f.u.
density of states at the Fermi level	0.568	states/eV/atom
symmetry	Pm-3m

---

Quick ranking, most stable first: b), a).

---

a) This record from Alexandria describes an optimized crystal structure of PmPbCl. The functional is PBE-GGA.

a = 8.697 Å, b = 6.292 Å, c = 6.293 Å
α = 90.00°, β = 90.00°, γ = 90.00°
Positions (direct):
1 Pm 0.215 0.000 0.250
2 Pm 0.215 0.500 0.750
3 Pm 0.785 0.000 0.750
4 Pm 0.785 0.500 0.250
5 Pb 0.421 0.001 0.750
6 Pb 0.421 0.499 0.250
7 Pb 0.579 0.501 0.750
8 Pb 0.579 0.999 0.250
9 Cl 0.000 0.250 0.000
10 Cl 0.000 0.250 0.500
11 Cl 0.000 0.750 0.000
12 Cl 0.000 0.750 0.500

Calculated values
M_tot	0.00	μB/f.u.
density of states at the Fermi level	0.646	states/eV/atom
symmetry	Pbcm

---

b) This record from Alexandria describes an optimized crystal structure of PmPbCl. The functional is PBE-GGA.

a = 4.961 Å, b = 4.961 Å, c = 3.989 Å
α = 90.00°, β = 90.00°, γ = 120.00°
Positions (direct):
1 Pm 0.000 0.000 0.000
2 Pb 0.667 0.333 0.500
3 Cl 0.333 0.667 0.000

Calculated values
M_tot	0.21	μB/f.u.
density of states at the Fermi level	1.493	states/eV/atom
symmetry	P-6m2

---

Quick ranking, most stable first: a), b).

---

a) This record from Alexandria describes an optimized crystal structure of PtPb2Cl. The functional is PBE-GGA.

a = 3.492 Å, b = 3.492 Å, c = 7.971 Å
α = 90.00°, β = 90.00°, γ = 90.00°
Positions (direct):
1 Pt 0.000 0.000 0.000
2 Pb 0.500 0.500 0.221
3 Pb 0.500 0.500 0.779
4 Cl 0.000 0.000 0.500

Calculated values
M_tot	0.00	μB/f.u.
density of states at the Fermi level	0.259	states/eV/atom
symmetry	P4/mmm

---

b) This record from Alexandria describes an optimized crystal structure of PtPb2Cl. The functional is PBE-GGA.

a = 7.213 Å, b = 7.213 Å, c = 7.213 Å
α = 90.00°, β = 90.00°, γ = 90.00°
Positions (direct):
1 Pt 0.000 0.000 0.000
2 Pt 0.000 0.500 0.500
3 Pt 0.500 0.000 0.500
4 Pt 0.500 0.500 0.000
5 Pb 0.250 0.250 0.250
6 Pb 0.250 0.250 0.750
7 Pb 0.250 0.750 0.250
8 Pb 0.250 0.750 0.750
9 Pb 0.750 0.250 0.250
10 Pb 0.750 0.250 0.750
11 Pb 0.750 0.750 0.250
12 Pb 0.750 0.750 0.750
13 Cl 0.000 0.000 0.500
14 Cl 0.000 0.500 0.000
15 Cl 0.500 0.000 0.000
16 Cl 0.500 0.500 0.500

Calculated values
M_tot	0.00	μB/f.u.
density of states at the Fermi level	0.792	states/eV/atom
symmetry	Fm-3m

---

c) This record from Alexandria describes an optimized crystal structure of PtPb2Cl. The functional is PBE-GGA.

a = 3.732 Å, b = 4.639 Å, c = 5.820 Å
α = 90.00°, β = 90.00°, γ = 90.00°
Positions (direct):
1 Pt 0.000 0.000 0.000
2 Pb 0.000 0.000 0.500
3 Pb 0.500 0.500 0.000
4 Cl 0.500 0.500 0.500

Calculated values
M_tot	0.00	μB/f.u.
density of states at the Fermi level	0.255	states/eV/atom
symmetry	Pmmm

---

Quick ranking, most stable first: a), c), b).

---

a) This record from Alexandria describes an optimized crystal structure of PtPb2Cl. The functional is PBE-GGA.

a = 6.878 Å, b = 3.963 Å, c = 8.239 Å
α = 90.00°, β = 105.99°, γ = 90.00°
Positions (direct):
1 Pt 0.000 0.000 0.000
2 Pt 0.500 0.500 0.000
3 Pb 0.238 0.500 0.215
4 Pb 0.262 0.000 0.785
5 Pb 0.738 0.000 0.215
6 Pb 0.762 0.500 0.785
7 Cl 0.000 0.500 0.500
8 Cl 0.500 0.000 0.500

Calculated values
M_tot	0.00	μB/f.u.
density of states at the Fermi level	0.194	states/eV/atom
symmetry	C2/m

---

b) This record from Alexandria describes an optimized crystal structure of PtPb2Cl. The functional is PBE-GGA.

a = 4.108 Å, b = 4.108 Å, c = 12.258 Å
α = 90.00°, β = 90.00°, γ = 90.00°
Positions (direct):
1 Pt 0.000 0.000 0.000
2 Pt 0.500 0.500 0.500
3 Pb 0.000 0.000 0.500
4 Pb 0.000 0.500 0.250
5 Pb 0.500 0.000 0.750
6 Pb 0.500 0.500 0.000
7 Cl 0.000 0.500 0.750
8 Cl 0.500 0.000 0.250

Calculated values
M_tot	0.00	μB/f.u.
density of states at the Fermi level	0.763	states/eV/atom
symmetry	I-4m2

---

c) This record from Alexandria describes an optimized crystal structure of PtPb2Cl. The functional is PBE-GGA.

a = 6.406 Å, b = 6.406 Å, c = 13.772 Å
α = 90.00°, β = 90.00°, γ = 90.00°
Positions (direct):
1 Pt 0.000 0.000 0.000
2 Pt 0.000 0.500 0.250
3 Pt 0.500 0.000 0.750
4 Pt 0.500 0.500 0.500
5 Pb 0.205 0.250 0.125
6 Pb 0.250 0.705 0.375
7 Pb 0.250 0.795 0.875
8 Pb 0.295 0.250 0.625
9 Pb 0.705 0.750 0.625
10 Pb 0.750 0.205 0.875
11 Pb 0.750 0.295 0.375
12 Pb 0.795 0.750 0.125
13 Cl 0.000 0.000 0.500
14 Cl 0.000 0.500 0.750
15 Cl 0.500 0.000 0.250
16 Cl 0.500 0.500 0.000

Calculated values
M_tot	0.00	μB/f.u.
density of states at the Fermi level	0.470	states/eV/atom
symmetry	I-42d

---

Quick ranking, most stable first: a), c), b).